1.
PBE RbPb3Au3, optimized geometry; total DFT energy (no corrections) = -44.211 eV/cell; formation energy = -25.8 meV per atom; spin magnetization = 0.0 μB per formula unit; space group = No. 148
1.0
8.313 0.000 0.000
4.156 7.199 0.000
4.156 2.400 8.328
Au Pb Rb
6 6 2
direct
0.491 0.918 0.318
0.273 0.491 0.318
0.918 0.273 0.318
0.727 0.509 0.682
0.082 0.727 0.682
0.509 0.082 0.682
0.873 0.626 0.334
0.626 0.166 0.334
0.374 0.834 0.666
0.166 0.873 0.334
0.834 0.127 0.666
0.127 0.374 0.666
0.337 0.337 0.990
0.663 0.663 0.010

2.
PBE RbPb2Au3, optimized geometry; total DFT energy (no corrections) = -38.564 eV/cell; formation energy = -177.6 meV per atom; spin magnetization = 0.0 μB per formula unit; space group = No. 63
1.0
7.153 0.000 0.000
0.000 6.953 -2.263
0.000 -0.080 7.311
Au Pb Rb
6 4 2
direct
0.750 0.882 0.506
0.250 0.494 0.118
0.750 0.506 0.882
0.750 0.886 0.886
0.250 0.118 0.494
0.250 0.114 0.114
0.500 0.185 0.815
0.000 0.815 0.185
0.000 0.185 0.815
0.500 0.815 0.185
0.250 0.655 0.655
0.750 0.345 0.345

3.
PBE Rb3PbAu, optimized geometry; total DFT energy (no corrections) = -9.779 eV/cell; formation energy = 21.8 meV per atom; spin magnetization = 2.0 μB per formula unit; space group = No. 221
1.0
-0.444 5.428 -3.623
-3.880 -3.140 -4.228
-5.247 1.863 3.432
Pb Rb Au
1 3 1
direct
0.500 0.500 0.500
0.000 0.000 0.500
0.000 0.500 0.000
0.500 0.000 0.000
0.000 0.000 0.000

4.
PBE RbPb2Au, optimized geometry; total DFT energy (no corrections) = -11.966 eV/cell; formation energy = -76.2 meV per atom; spin magnetization = 0.0 μB per formula unit; space group = No. 123
1.0
-3.171 1.458 1.707
0.685 -2.185 3.138
4.700 6.293 3.355
Pb Au Rb
2 1 1
direct
0.000 0.000 0.177
0.000 0.000 0.823
0.500 0.500 0.000
0.500 0.500 0.500

What is the total DFT energy (no corrections) in the second record? -38.564 eV/cell

formation energy of number 3 (Rb3PbAu)? 21.8 meV per atom